Entry 1:
Density functional theory data (PBE-GGA) for a relaxed structure of TiTcPd.

Geometry as extended XYZ:
```
9
Lattice="6.387 0.000 0.000 -3.194 5.531 0.000 0.000 0.000 4.046" Properties=species:S:1:pos:R:3 pbc="T T T"
Ti 0.000 0.000 0.000
Ti 0.000 3.688 2.023
Ti 3.194 1.844 2.023
Tc -2.414 4.180 2.023
Tc 0.780 1.351 2.023
Tc 4.827 0.000 2.023
Pd -1.320 2.286 0.000
Pd 2.639 0.000 0.000
Pd 1.874 3.246 0.000
```

Calculated values
The size of the total moment is 0.00 μB per cell. The formation energy from the elements comes out at 0.0 kJ/mol of atoms.

Entry 2:
Density functional theory data (PBE-GGA) for a relaxed structure of Ti5TcPd4.

Geometry as extended XYZ:
```
10
Lattice="3.039 0.000 0.000 0.000 3.039 0.000 0.000 0.000 17.101" Properties=species:S:1:pos:R:3 pbc="T T T"
Ti 0.000 0.000 0.000
Ti 0.000 0.000 3.521
Ti 0.000 0.000 7.033
Ti 0.000 0.000 10.068
Ti 0.000 0.000 13.580
Tc 1.520 1.520 8.551
Pd 1.520 1.520 1.703
Pd 1.520 1.520 5.329
Pd 1.520 1.520 11.772
Pd 1.520 1.520 15.398
```

Calculated values
The size of the total moment is 0.71 μB per cell. The formation energy from the elements comes out at -51.0 kJ/mol of atoms.

Entry 3:
Density functional theory data (PBE-GGA) for a relaxed structure of Ti2TlTcPd.

Geometry as extended XYZ:
```
5
Lattice="4.691 0.000 0.000 0.000 4.691 0.000 0.000 0.000 4.939" Properties=species:S:1:pos:R:3 pbc="T T T"
Ti 0.000 2.345 0.000
Ti 2.345 0.000 0.000
Tl 0.000 0.000 2.470
Tc 2.345 2.345 2.470
Pd 0.000 0.000 0.000
```

Calculated values
The size of the total moment is 0.00 μB per cell. The formation energy from the elements comes out at 106.0 kJ/mol of atoms.

Entry 4:
Density functional theory data (PBE-GGA) for a relaxed structure of TiVTcPd.

Geometry as extended XYZ:
```
4
Lattice="0.000 3.092 3.092 3.092 0.000 3.092 3.092 3.092 0.000" Properties=species:S:1:pos:R:3 pbc="T T T"
Ti 0.000 0.000 0.000
V 3.092 3.092 3.092
Tc 1.546 1.546 1.546
Pd 4.638 4.638 4.638
```

Calculated values
The size of the total moment is 0.88 μB per cell. The formation energy from the elements comes out at -29.8 kJ/mol of atoms.

Entry 5:
Density functional theory data (PBE-GGA) for a relaxed structure of Ti2TcPdW.

Geometry as extended XYZ:
```
5
Lattice="4.497 0.000 0.000 0.000 4.497 0.000 0.000 0.000 4.826" Properties=species:S:1:pos:R:3 pbc="T T T"
Ti 0.000 2.249 0.000
Ti 2.249 0.000 0.000
Tc 0.000 0.000 0.000
Pd 0.000 0.000 2.413
W 2.249 2.249 2.413
```

Calculated values
The size of the total moment is 1.90 μB per cell. The formation energy from the elements comes out at 117.4 kJ/mol of atoms.

Entry 6:
Density functional theory data (PBE-GGA) for a relaxed structure of ZrTiTcPd.

Geometry as extended XYZ:
```
4
Lattice="0.000 3.230 3.230 3.230 0.000 3.230 3.230 3.230 0.000" Properties=species:S:1:pos:R:3 pbc="T T T"
Zr 0.000 0.000 0.000
Ti 3.230 3.230 3.230
Tc 1.615 1.615 1.615
Pd 4.845 4.845 4.845
```

Calculated values
The size of the total moment is 0.00 μB per cell. The formation energy from the elements comes out at -46.9 kJ/mol of atoms.

Entry 7:
Density functional theory data (PBE-GGA) for a relaxed structure of TlTcPd3.

Geometry as extended XYZ:
```
5
Lattice="4.997 0.000 0.000 0.000 4.997 0.000 0.000 0.000 4.997" Properties=species:S:1:pos:R:3 pbc="T T T"
Tl 0.000 0.000 0.000
Tc 2.498 2.498 2.498
Pd 0.000 0.000 2.498
Pd 0.000 2.498 0.000
Pd 2.498 0.000 0.000
```

Calculated values
The size of the total moment is 4.37 μB per cell. The formation energy from the elements comes out at 134.8 kJ/mol of atoms. As for the energy above the most stable polymorph in this dataset: 0.4690 eV per atom.

Entry 8:
Density functional theory data (PBE-GGA) for a relaxed structure of Tl3TcPd.

Geometry as extended XYZ:
```
5
Lattice="5.257 0.000 0.000 0.000 5.257 0.000 0.000 0.000 5.257" Properties=species:S:1:pos:R:3 pbc="T T T"
Tl 0.000 0.000 2.629
Tl 0.000 2.629 0.000
Tl 2.629 0.000 0.000
Tc 0.000 0.000 0.000
Pd 2.629 2.629 2.629
```

Calculated values
The size of the total moment is 0.00 μB per cell. The formation energy from the elements comes out at 73.5 kJ/mol of atoms. As for the energy above the most stable polymorph in this dataset: 0.0000 eV per atom.

Entry 9:
Density functional theory data (PBE-GGA) for a relaxed structure of Tl2TcPd2.

Geometry as extended XYZ:
```
10
Lattice="7.651 0.000 0.000 0.000 7.651 0.000 0.000 0.000 3.281" Properties=species:S:1:pos:R:3 pbc="T T T"
Tl 1.296 2.529 0.000
Tl 2.529 6.355 0.000
Tl 5.122 1.296 0.000
Tl 6.355 5.122 0.000
Tc 0.000 0.000 1.640
Tc 3.825 3.825 1.640
Pd 1.005 4.830 1.640
Pd 2.821 1.005 1.640
Pd 4.830 6.646 1.640
Pd 6.646 2.821 1.640
```

Calculated values
The size of the total moment is 5.13 μB per cell. The formation energy from the elements comes out at 39.7 kJ/mol of atoms. As for the energy above the most stable polymorph in this dataset: 0.0000 eV per atom.

Entry 10:
Density functional theory data (PBE-GGA) for a relaxed structure of TlTc2Pd.

Geometry as extended XYZ:
```
4
Lattice="0.000 3.208 3.208 3.208 0.000 3.208 3.208 3.208 0.000" Properties=species:S:1:pos:R:3 pbc="T T T"
Tl 0.000 0.000 0.000
Tc 1.604 1.604 1.604
Tc 4.812 4.812 4.812
Pd 3.208 3.208 3.208
```

Calculated values
The size of the total moment is 0.00 μB per cell. The formation energy from the elements comes out at 62.2 kJ/mol of atoms. As for the energy above the most stable polymorph in this dataset: 0.0000 eV per atom.

Entry 11:
Density functional theory data (PBE-GGA) for a relaxed structure of TlTcPd3.

Geometry as extended XYZ:
```
5
Lattice="4.851 0.000 0.000 0.000 4.851 0.000 0.000 0.000 4.851" Properties=species:S:1:pos:R:3 pbc="T T T"
Tl 0.000 0.000 0.000
Tc 2.425 2.425 2.425
Pd 0.000 2.425 2.425
Pd 2.425 0.000 2.425
Pd 2.425 2.425 0.000
```

Calculated values
The size of the total moment is 0.00 μB per cell. The formation energy from the elements comes out at 89.5 kJ/mol of atoms. As for the energy above the most stable polymorph in this dataset: 0.0000 eV per atom.

Entry 12:
Density functional theory data (PBE-GGA) for a relaxed structure of Tl2TcPd2.

Geometry as extended XYZ:
```
5
Lattice="-2.062 2.062 6.416 2.062 -2.062 6.416 2.062 2.062 -6.416" Properties=species:S:1:pos:R:3 pbc="T T T"
Tl 2.062 0.000 3.208
Tl 0.000 2.062 3.208
Tc 0.000 0.000 0.000
Pd 0.000 0.000 5.143
Pd 0.000 0.000 7.690
```

Calculated values
The size of the total moment is 3.94 μB per cell. The formation energy from the elements comes out at 71.6 kJ/mol of atoms. As for the energy above the most stable polymorph in this dataset: 0.3304 eV per atom.

Entry 13:
Density functional theory data (PBE-GGA) for a relaxed structure of TlTcPd2.

Geometry as extended XYZ:
```
4
Lattice="0.000 3.261 3.261 3.261 0.000 3.261 3.261 3.261 0.000" Properties=species:S:1:pos:R:3 pbc="T T T"
Tl 0.000 0.000 0.000
Tc 3.261 3.261 3.261
Pd 1.631 1.631 1.631
Pd 4.892 4.892 4.892
```

Calculated values
The size of the total moment is 2.50 μB per cell. The formation energy from the elements comes out at 28.2 kJ/mol of atoms. As for the energy above the most stable polymorph in this dataset: 0.0000 eV per atom.

Entry 14:
Density functional theory data (PBE-GGA) for a relaxed structure of TlTc3Pd.

Geometry as extended XYZ:
```
5
Lattice="4.856 0.000 0.000 0.000 4.856 0.000 0.000 0.000 4.856" Properties=species:S:1:pos:R:3 pbc="T T T"
Tl 0.000 0.000 0.000
Tc 0.000 2.428 2.428
Tc 2.428 0.000 2.428
Tc 2.428 2.428 0.000
Pd 2.428 2.428 2.428
```

Calculated values
The size of the total moment is 7.97 μB per cell. The formation energy from the elements comes out at 185.8 kJ/mol of atoms. As for the energy above the most stable polymorph in this dataset: 0.0000 eV per atom.

Entry 15:
Density functional theory data (PBE-GGA) for a relaxed structure of TlTc2Pd.

Geometry as extended XYZ:
```
8
Lattice="-3.765 3.765 2.606 3.765 -3.765 2.606 3.765 3.765 -2.606" Properties=species:S:1:pos:R:3 pbc="T T T"
Tl 0.000 0.000 0.000
Tl 0.000 3.765 1.303
Tc 1.883 2.014 -0.652
Tc 5.517 1.883 0.652
Tc 1.883 1.752 1.955
Tc -1.752 1.883 3.258
Pd 3.765 0.000 1.303
Pd 0.000 0.000 2.606
```

Calculated values
The size of the total moment is 4.55 μB per cell. The formation energy from the elements comes out at 93.2 kJ/mol of atoms. As for the energy above the most stable polymorph in this dataset: 0.3211 eV per atom.

Entry 16:
Density functional theory data (PBE-GGA) for a relaxed structure of TlTcPd2.

Geometry as extended XYZ:
```
8
Lattice="-3.698 3.698 2.795 3.698 -3.698 2.795 3.698 3.698 -2.795" Properties=species:S:1:pos:R:3 pbc="T T T"
Tl 0.000 0.000 0.000
Tl 0.000 3.698 1.398
Tc 3.698 0.000 1.398
Tc 0.000 0.000 2.795
Pd 1.849 -1.704 2.097
Pd 1.994 1.849 0.699
Pd 1.849 5.401 -0.699
Pd 1.704 1.849 3.494
```

Calculated values
The size of the total moment is 5.36 μB per cell. The formation energy from the elements comes out at 54.5 kJ/mol of atoms. As for the energy above the most stable polymorph in this dataset: 0.2725 eV per atom.

Entry 17:
Density functional theory data (PBE-GGA) for a relaxed structure of Tm4TcPd3.

Geometry as extended XYZ:
```
8
Lattice="3.410 0.000 0.000 0.000 3.410 0.000 0.000 0.000 14.011" Properties=species:S:1:pos:R:3 pbc="T T T"
Tm 0.000 0.000 1.647
Tm 0.000 0.000 5.211
Tm 0.000 0.000 8.801
Tm 0.000 0.000 12.364
Tc 1.705 1.705 0.000
Pd 1.705 1.705 3.507
Pd 1.705 1.705 7.006
Pd 1.705 1.705 10.505
```

Calculated values
The size of the total moment is 0.00 μB per cell. The formation energy from the elements comes out at -70.3 kJ/mol of atoms.

Entry 18:
Density functional theory data (PBE-GGA) for a relaxed structure of Tm4TcPd.

Geometry as extended XYZ:
```
12
Lattice="-4.529 4.529 4.165 4.529 -4.529 4.165 4.529 4.529 -4.165" Properties=species:S:1:pos:R:3 pbc="T T T"
Tm 0.000 1.784 0.000
Tm 2.678 0.000 1.900
Tm 6.379 0.000 1.900
Tm 4.529 2.678 -0.182
Tm 0.000 1.850 3.982
Tm -1.784 4.529 2.082
Tm 1.784 4.529 2.082
Tm 0.000 7.274 0.000
Tc 0.000 0.000 1.979
Tc 0.000 4.529 4.061
Pd 4.529 0.000 4.049
Pd 0.000 0.000 6.131
```

Calculated values
The size of the total moment is 0.00 μB per cell. The formation energy from the elements comes out at -17.7 kJ/mol of atoms. As for the energy above the most stable polymorph in this dataset: 0.2423 eV per atom.

Entry 19:
Density functional theory data (PBE-GGA) for a relaxed structure of Tm8TcPd2.

Geometry as extended XYZ:
```
11
Lattice="4.083 -6.510 0.000 4.083 6.510 0.000 -1.949 0.000 5.333" Properties=species:S:1:pos:R:3 pbc="T T T"
Tm 0.000 0.000 0.000
Tm 0.121 1.580 3.033
Tm 2.532 2.739 0.934
Tm 0.121 -1.580 3.033
Tm 3.105 1.572 4.087
Tm 2.532 -2.739 0.934
Tm 3.105 -1.572 4.087
Tm 5.173 0.000 1.899
Tc 2.373 0.000 1.538
Pd 1.627 3.963 3.650
Pd 1.627 -3.963 3.650
```

Calculated values
The size of the total moment is 0.00 μB per cell. The formation energy from the elements comes out at -28.8 kJ/mol of atoms. As for the energy above the most stable polymorph in this dataset: 0.0806 eV per atom.

Entry 20:
Density functional theory data (PBE-GGA) for a relaxed structure of Tm8TcPd2.

Geometry as extended XYZ:
```
11
Lattice="8.462 -2.507 0.000 8.462 2.507 0.000 -2.052 0.000 6.431" Properties=species:S:1:pos:R:3 pbc="T T T"
Tm -0.096 0.000 1.896
Tm 1.700 0.000 5.190
Tm 4.574 0.000 3.436
Tm 6.779 0.000 0.377
Tm 8.093 0.000 6.054
Tm 10.298 0.000 2.995
Tm 13.171 0.000 1.241
Tm 14.967 0.000 4.536
Tc 7.436 0.000 3.216
Pd 2.736 0.000 1.314
Pd 12.136 0.000 5.118
```

Calculated values
The size of the total moment is 0.00 μB per cell. The formation energy from the elements comes out at -36.6 kJ/mol of atoms. As for the energy above the most stable polymorph in this dataset: 0.0000 eV per atom.